[1]
This record from the Alexandria database describes an optimized crystal structure of CaPdSe. The functional is PBE-GGA.

Unit cell a=5.5007 b=5.5007 c=6.2790 alpha=98.25 beta=98.25 gamma=45.05
Element x y z (fractional)
1 Ca 0.0000 0.0000 0.0000
2 Ca 0.6575 0.6575 0.5263
3 Pd 0.3352 0.3352 0.2240
4 Pd 0.9394 0.9394 0.4724
5 Se 0.3814 0.3814 0.6719
6 Se 0.7089 0.7089 0.0525

Summary:
Crystal system: monoclinic
Magnetization in μB per atom: 0.000
Distance to the lowest polymorph of the same formula in meV per atom: 83
Energy relative to the elements, uncorrected in eV per formula unit: -3.2


[2]
This record from the Alexandria database describes an optimized crystal structure of SmDy2PuO8. The functional is PBE-GGA.

Unit cell a=5.1163 b=5.1163 c=7.0454 alpha=90.00 beta=90.00 gamma=90.45
Element x y z (fractional)
1 Sm 0.0000 0.0000 0.0000
2 Dy 0.5000 0.5000 0.2416
3 Dy 0.5000 0.5000 0.7584
4 Pu 0.0000 0.0000 0.5000
5 O 0.1853 0.8146 0.2826
6 O 0.1853 0.8146 0.7174
7 O 0.2778 0.2778 0.5000
8 O 0.3132 0.3132 0.0000
9 O 0.6868 0.6868 0.0000
10 O 0.7222 0.7222 0.5000
11 O 0.8146 0.1853 0.2826
12 O 0.8146 0.1853 0.7174

Summary:
Crystal system: orthorhombic
Magnetization in μB per atom: 0.083
Energy relative to the elements, uncorrected in eV per formula unit: -36.8


[3]
This record from the Alexandria database describes an optimized crystal structure of RbZrTa2Mo. The functional is PBE-GGA.

Unit cell a=4.7982 b=4.7982 c=4.8260 alpha=90.00 beta=90.00 gamma=90.00
Element x y z (fractional)
1 Rb 0.0000 0.0000 0.0000
2 Zr 0.0000 0.0000 0.5000
3 Ta 0.0000 0.5000 0.0000
4 Ta 0.5000 0.0000 0.0000
5 Mo 0.5000 0.5000 0.5000

Summary:
Crystal system: tetragonal
Magnetization in μB per atom: 0.189
Calculated formation energy in eV/atom: 3.024


[4]
This record from the Alexandria database describes an optimized crystal structure of Ac3Pb5S12. The functional is PBE-GGA.

Unit cell a=14.5602 b=14.5602 c=14.5602 alpha=109.47 beta=109.47 gamma=109.47
Element x y z (fractional)
1 Ac 0.1250 0.2500 0.3750
2 Ac 0.1250 0.3750 0.7500
3 Ac 0.2500 0.3750 0.1250
4 Ac 0.2500 0.8750 0.6250
5 Ac 0.3750 0.1250 0.2500
6 Ac 0.3750 0.7500 0.1250
7 Ac 0.6250 0.2500 0.8750
8 Ac 0.6250 0.8750 0.7500
9 Ac 0.7500 0.1250 0.3750
10 Ac 0.7500 0.6250 0.8750
11 Ac 0.8750 0.6250 0.2500
12 Ac 0.8750 0.7500 0.6250
13 Pb 0.0000 0.0000 0.0000
14 Pb 0.0000 0.0000 0.5000
15 Pb 0.0000 0.5000 0.0000
16 Pb 0.0000 0.5000 0.5000
17 Pb 0.1250 0.7500 0.8750
18 Pb 0.1250 0.8750 0.2500
19 Pb 0.2500 0.1250 0.8750
20 Pb 0.2500 0.6250 0.3750
21 Pb 0.3750 0.2500 0.6250
22 Pb 0.3750 0.6250 0.7500
23 Pb 0.5000 0.0000 0.0000
24 Pb 0.5000 0.0000 0.5000
25 Pb 0.5000 0.5000 0.0000
26 Pb 0.5000 0.5000 0.5000
27 Pb 0.6250 0.3750 0.2500
28 Pb 0.6250 0.7500 0.3750
29 Pb 0.7500 0.3750 0.6250
30 Pb 0.7500 0.8750 0.1250
31 Pb 0.8750 0.1250 0.7500
32 Pb 0.8750 0.2500 0.1250
33 S 0.0455 0.2221 0.1349
34 S 0.0455 0.3234 0.9106
35 S 0.0872 0.7221 0.6766
36 S 0.0872 0.8651 0.4106
37 S 0.0894 0.6349 0.4128
38 S 0.0894 0.9545 0.6766
39 S 0.1349 0.0455 0.2221
40 S 0.1349 0.5894 0.9128
41 S 0.1766 0.2221 0.5872
42 S 0.1766 0.4545 0.5894
43 S 0.2221 0.1349 0.0455
44 S 0.2221 0.5872 0.1766
45 S 0.2779 0.3234 0.9128
46 S 0.2779 0.4545 0.3651
47 S 0.3234 0.9106 0.0455
48 S 0.3234 0.9128 0.2779
49 S 0.3651 0.2779 0.4545
50 S 0.3651 0.5872 0.9106
51 S 0.4106 0.0872 0.8651
52 S 0.4106 0.8234 0.5455
53 S 0.4128 0.0894 0.6349
54 S 0.4128 0.8234 0.7779
55 S 0.4545 0.3651 0.2779
56 S 0.4545 0.5894 0.1766
57 S 0.5455 0.4106 0.8234
58 S 0.5455 0.6349 0.7221
59 S 0.5872 0.1766 0.2221
60 S 0.5872 0.9106 0.3651
61 S 0.5894 0.1766 0.4545
62 S 0.5894 0.9128 0.1349
63 S 0.6349 0.4128 0.0894
64 S 0.6349 0.7221 0.5455
65 S 0.6766 0.0872 0.7221
66 S 0.6766 0.0894 0.9545
67 S 0.7221 0.5455 0.6349
68 S 0.7221 0.6766 0.0872
69 S 0.7779 0.4128 0.8234
70 S 0.7779 0.8651 0.9545
71 S 0.8234 0.5455 0.4106
72 S 0.8234 0.7779 0.4128
73 S 0.8651 0.4106 0.0872
74 S 0.8651 0.9545 0.7779
75 S 0.9106 0.0455 0.3234
76 S 0.9106 0.3651 0.5872
77 S 0.9128 0.1349 0.5894
78 S 0.9128 0.2779 0.3234
79 S 0.9545 0.6766 0.0894
80 S 0.9545 0.7779 0.8651

Summary:
Crystal system: cubic
Magnetization in μB per atom: 0.000
Energy relative to the elements, uncorrected in eV per formula unit: -18.6


[5]
This record from the Alexandria database describes an optimized crystal structure of TmSnGePd. The functional is PBE-GGA.

Unit cell a=4.8867 b=4.8867 c=4.8867 alpha=60.00 beta=60.00 gamma=60.00
Element x y z (fractional)
1 Tm 0.0000 0.0000 0.0000
2 Sn 0.5000 0.5000 0.5000
3 Ge 0.7500 0.7500 0.7500
4 Pd 0.2500 0.2500 0.2500

Summary:
Crystal system: cubic
Magnetization in μB per atom: 0.000
Calculated formation energy in eV/atom: -0.476


[6]
This record from the Alexandria database describes an optimized crystal structure of CePa6Co5. The functional is PBE-GGA.

Unit cell a=6.4719 b=6.4719 c=6.6610 alpha=99.92 beta=99.92 gamma=113.75
Element x y z (fractional)
1 Ce 0.0000 0.0000 0.0000
2 Pa 0.1002 0.4795 0.2743
3 Pa 0.2995 0.2995 0.7571
4 Pa 0.4795 0.1002 0.2743
5 Pa 0.5205 0.8998 0.7257
6 Pa 0.7005 0.7005 0.2429
7 Pa 0.8998 0.5205 0.7257
8 Co 0.1303 0.8697 0.5000
9 Co 0.3171 0.6829 0.0000
10 Co 0.5000 0.5000 0.5000
11 Co 0.6829 0.3171 0.0000
12 Co 0.8697 0.1303 0.5000

Summary:
Crystal system: monoclinic
Magnetization in μB per atom: 0.000
Calculated formation energy in eV/atom: -0.157